[1]
Er2Ta2O5 | PBE-GGA | optimized geometry

Results
**Calculated total energy**: -8.667 eV/atom

Cell lengths 3.4574, 3.4574, 9.8238 Å; angles 90.00, 90.00, 90.00 degrees
Last column: nearest neighbours and their distance in Å.
Fractional positions:
Er  0.0000  0.0000  0.2341  5 O 2.23-2.30
Er  0.0000  0.0000  0.7659  5 O 2.23-2.30
Ta  0.5000  0.5000  0.0000  4 O 2.44
Ta  0.5000  0.5000  0.5000  8 O 2.11
O  0.0000  0.0000  0.0000  2 Er 2.30, 4 Ta 2.44
O  0.0000  0.5000  0.3777  2 Ta 2.11, 2 Er 2.23
O  0.0000  0.5000  0.6223  2 Ta 2.11, 2 Er 2.23
O  0.5000  0.0000  0.3777  2 Ta 2.11, 2 Er 2.23
O  0.5000  0.0000  0.6223  2 Ta 2.11, 2 Er 2.23


[2]
Er2Ta2O5 | PBE-GGA | optimized geometry

Results
**Calculated total energy**: -8.760 eV/atom

Cell lengths 3.9780, 3.9780, 7.0975 Å; angles 90.00, 90.00, 90.00 degrees
Last column: nearest neighbours and their distance in Å.
Fractional positions:
Er  0.0000  0.0000  0.0000  8 O 2.70
Er  0.0000  0.0000  0.5000  12 O 2.63-2.81
Ta  0.5000  0.5000  0.1958  5 O 2.04-2.16
Ta  0.5000  0.5000  0.8042  5 O 2.04-2.16
O  0.0000  0.5000  0.2573  2 Ta 2.04
O  0.0000  0.5000  0.7427  2 Ta 2.04
O  0.5000  0.0000  0.2573  2 Ta 2.04
O  0.5000  0.0000  0.7427  2 Ta 2.04
O  0.5000  0.5000  0.5000  2 Ta 2.16


[3]
ErTa2O4 | PBE-GGA | optimized geometry

Results
**Calculated total energy**: -9.025 eV/atom

Cell lengths 5.0520, 5.0520, 3.4974 Å; angles 90.00, 90.00, 112.92 degrees
Last column: nearest neighbours and their distance in Å.
Fractional positions:
Er  0.0000  0.0000  0.0000  6 O 2.27-2.28
Ta  0.0000  0.5000  0.5000  6 O 2.11-2.24
Ta  0.5000  0.0000  0.5000  6 O 2.11-2.24
O  0.2584  0.2584  0.5000  2 Ta 2.11, 2 Er 2.27
O  0.2702  0.7298  0.0000  4 Ta 2.24, 1 Er 2.28
O  0.7298  0.2702  0.0000  4 Ta 2.24, 1 Er 2.28
O  0.7416  0.7416  0.5000  2 Ta 2.11, 2 Er 2.27


[4]
ErTa2O4 | PBE-GGA | optimized geometry

Results
**Calculated total energy**: -8.974 eV/atom

Cell lengths 6.3742, 6.3742, 6.3742 Å; angles 60.00, 60.00, 60.00 degrees
Last column: nearest neighbours and their distance in Å.
Fractional positions:
Er  0.1250  0.1250  0.1250  4 O 2.08
Er  0.8750  0.8750  0.8750  4 O 2.08
Ta  0.0000  0.5000  0.5000  6 O 2.18
Ta  0.5000  0.0000  0.5000  6 O 2.18
Ta  0.5000  0.5000  0.0000  6 O 2.18
Ta  0.5000  0.5000  0.5000  6 O 2.18
O  0.2579  0.2579  0.2579  1 Er 2.08, 3 Ta 2.18
O  0.2579  0.2579  0.7262  1 Er 2.08, 3 Ta 2.18
O  0.2579  0.7262  0.2579  1 Er 2.08, 3 Ta 2.18
O  0.2738  0.7421  0.7421  1 Er 2.08, 3 Ta 2.18
O  0.7262  0.2579  0.2579  1 Er 2.08, 3 Ta 2.18
O  0.7421  0.2738  0.7421  1 Er 2.08, 3 Ta 2.18
O  0.7421  0.7421  0.2738  1 Er 2.08, 3 Ta 2.18
O  0.7421  0.7421  0.7421  1 Er 2.08, 3 Ta 2.18


[5]
Tb2Er2O5 | PBE-GGA | optimized geometry

Results
**Calculated total energy**: -7.655 eV/atom

Cell lengths 3.8959, 3.8959, 9.3498 Å; angles 90.00, 90.00, 90.00 degrees
Last column: nearest neighbours and their distance in Å.
Fractional positions:
Tb  0.0000  0.0000  0.2425  5 O 2.16-2.41
Tb  0.0000  0.0000  0.7575  5 O 2.16-2.41
Er  0.5000  0.5000  0.0000  8 O 2.36
Er  0.5000  0.5000  0.5000  4 O 2.75
O  0.0000  0.0000  0.5000  2 Tb 2.41
O  0.0000  0.5000  0.1425  2 Tb 2.16, 2 Er 2.36
O  0.0000  0.5000  0.8575  2 Tb 2.16, 2 Er 2.36
O  0.5000  0.0000  0.1425  2 Tb 2.16, 2 Er 2.36
O  0.5000  0.0000  0.8575  2 Tb 2.16, 2 Er 2.36


[6]
Tb2Er2O5 | PBE-GGA | optimized geometry

Results
**Calculated total energy**: -7.451 eV/atom

Cell lengths 4.2800, 4.2800, 7.5520 Å; angles 90.00, 90.00, 90.00 degrees
Last column: nearest neighbours and their distance in Å.
Fractional positions:
Tb  0.0000  0.0000  0.0000  8 O 2.75
Tb  0.0000  0.0000  0.5000  12 O 2.96-3.03
Er  0.5000  0.5000  0.2265  5 O 2.07-2.14
Er  0.5000  0.5000  0.7735  5 O 2.07-2.14
O  0.0000  0.5000  0.2284  2 Er 2.14
O  0.0000  0.5000  0.7716  2 Er 2.14
O  0.5000  0.0000  0.2284  2 Er 2.14
O  0.5000  0.0000  0.7716  2 Er 2.14
O  0.5000  0.5000  0.5000  2 Er 2.07


[7]
TbErO4 | PBE-GGA | optimized geometry

Results
**Calculated total energy**: -7.823 eV/atom

Cell lengths 3.8600, 3.8600, 6.1334 Å; angles 95.49, 95.49, 57.01 degrees
Last column: nearest neighbours and their distance in Å.
Fractional positions:
Tb  0.0000  0.0000  0.0000  7 O 2.24-2.40
Er  0.3643  0.3643  0.4575  7 O 2.23-2.38
O  0.0356  0.0356  0.3786  3 Er 2.23-2.26, 1 Tb 2.31
O  0.3295  0.3295  0.0871  3 Tb 2.24-2.27, 1 Er 2.26
O  0.5892  0.5892  0.7789  1 O 1.48
O  0.7749  0.7749  0.6715  1 O 1.48


[8]
TbErTeO2 | PBE-GGA | optimized geometry

Results
**Calculated total energy**: -7.337 eV/atom

Cell lengths 3.8849, 3.8849, 7.1357 Å; angles 90.00, 90.00, 120.00 degrees
Last column: nearest neighbours and their distance in Å.
Fractional positions:
Tb  0.0000  0.0000  0.0000  4 O 2.29-2.31
Er  0.6667  0.3333  0.3924  4 O 2.24-2.30
Te  0.3333  0.6667  0.6936  3 Er 3.11, 3 Tb 3.13
O  0.0000  0.0000  0.3204  1 Tb 2.29, 3 Er 2.30
O  0.6667  0.3333  0.0779  1 Er 2.24, 3 Tb 2.31


[9]
TbErTeO2 | PBE-GGA | optimized geometry

Results
**Calculated total energy**: -7.419 eV/atom

Cell lengths 6.7881, 6.7881, 6.7881 Å; angles 146.58, 146.58, 47.98 degrees
Last column: nearest neighbours and their distance in Å.
Fractional positions:
Tb  0.0000  0.0000  0.0000  4 O 2.25
Er  0.3245  0.3245  0.0000  4 O 2.22
Te  0.6617  0.6617  0.0000  4 Tb 3.41, 4 Er 3.42, 8 O 3.64-3.69
O  0.4094  0.9094  0.5000  2 Er 2.22, 2 Tb 2.25
O  0.9094  0.4094  0.5000  2 Er 2.22, 2 Tb 2.25


[10]
Er2Tc2O7 | PBE-GGA | optimized geometry

Results
**Calculated total energy**: -8.252 eV/atom

Cell lengths 7.1971, 7.1971, 7.1971 Å; angles 60.00, 60.00, 60.00 degrees
Last column: nearest neighbours and their distance in Å.
Fractional positions:
Er  0.0000  0.0000  0.0000  8 O 2.20-2.42
Er  0.0000  0.0000  0.5000  8 O 2.20-2.42
Er  0.0000  0.5000  0.0000  8 O 2.20-2.42
Er  0.5000  0.0000  0.0000  8 O 2.20-2.42
Tc  0.0000  0.5000  0.5000  6 O 2.02
Tc  0.5000  0.0000  0.5000  6 O 2.02
Tc  0.5000  0.5000  0.0000  6 O 2.02
Tc  0.5000  0.5000  0.5000  6 O 2.02
O  0.1250  0.1250  0.1250  4 Er 2.20
O  0.1593  0.1593  0.5907  2 Tc 2.02
O  0.1593  0.5907  0.1593  2 Tc 2.02
O  0.1593  0.5907  0.5907  2 Tc 2.02
O  0.4093  0.4093  0.8407  2 Tc 2.02
O  0.4093  0.8407  0.4093  2 Tc 2.02
O  0.4093  0.8407  0.8407  2 Tc 2.02
O  0.5907  0.1593  0.1593  2 Tc 2.02
O  0.5907  0.1593  0.5907  2 Tc 2.02
O  0.5907  0.5907  0.1593  2 Tc 2.02
O  0.8407  0.4093  0.4093  2 Tc 2.02
O  0.8407  0.4093  0.8407  2 Tc 2.02
O  0.8407  0.8407  0.4093  2 Tc 2.02
O  0.8750  0.8750  0.8750  4 Er 2.20


[11]
ErTc2O4 | PBE-GGA | optimized geometry

Results
**Calculated total energy**: -7.971 eV/atom

Cell lengths 6.3102, 6.3102, 6.3102 Å; angles 60.00, 60.00, 60.00 degrees
Last column: nearest neighbours and their distance in Å.
Fractional positions:
Er  0.1250  0.1250  0.1250  4 O 2.10
Er  0.8750  0.8750  0.8750  4 O 2.10
Tc  0.0000  0.5000  0.5000  6 O 2.14
Tc  0.5000  0.0000  0.5000  6 O 2.14
Tc  0.5000  0.5000  0.0000  6 O 2.14
Tc  0.5000  0.5000  0.5000  6 O 2.14
O  0.2611  0.2611  0.2611  1 Er 2.10, 3 Tc 2.14
O  0.2611  0.2611  0.7166  1 Er 2.10, 3 Tc 2.14
O  0.2611  0.7166  0.2611  1 Er 2.10, 3 Tc 2.14
O  0.2834  0.7389  0.7389  1 Er 2.10, 3 Tc 2.14
O  0.7166  0.2611  0.2611  1 Er 2.10, 3 Tc 2.14
O  0.7389  0.2834  0.7389  1 Er 2.10, 3 Tc 2.14
O  0.7389  0.7389  0.2834  1 Er 2.10, 3 Tc 2.14
O  0.7389  0.7389  0.7389  1 Er 2.10, 3 Tc 2.14


[12]
Er6TeO12 | PBE-GGA | optimized geometry

Results
**Calculated total energy**: -7.904 eV/atom

Cell lengths 6.3839, 6.3839, 6.3839 Å; angles 98.75, 98.75, 98.75 degrees
Last column: nearest neighbours and their distance in Å.
Fractional positions:
Er  0.1101  0.8166  0.6448  6 O 2.17-2.39
Er  0.1834  0.3552  0.8899  6 O 2.17-2.39
Er  0.3552  0.8899  0.1834  6 O 2.17-2.39
Er  0.6448  0.1101  0.8166  6 O 2.17-2.39
Er  0.8166  0.6448  0.1101  6 O 2.17-2.39
Er  0.8899  0.1834  0.3552  6 O 2.17-2.39
Te  0.5000  0.5000  0.5000  6 O 1.96
O  0.0681  0.9087  0.3226  4 Er 2.17-2.25
O  0.0913  0.6774  0.9319  4 Er 2.17-2.25
O  0.2000  0.4270  0.5352  1 Te 1.96
O  0.3226  0.0681  0.9087  4 Er 2.17-2.25
O  0.4270  0.5352  0.2000  1 Te 1.96
O  0.4648  0.8000  0.5730  1 Te 1.96
O  0.5352  0.2000  0.4270  1 Te 1.96
O  0.5730  0.4648  0.8000  1 Te 1.96
O  0.6774  0.9319  0.0913  4 Er 2.17-2.25
O  0.8000  0.5730  0.4648  1 Te 1.96
O  0.9087  0.3226  0.0681  4 Er 2.17-2.25
O  0.9319  0.0913  0.6774  4 Er 2.17-2.25


[13]
ErTe2O4 | PBE-GGA | optimized geometry

Results
**Calculated total energy**: -5.824 eV/atom

Cell lengths 6.5365, 6.5365, 6.5365 Å; angles 117.75, 117.75, 93.95 degrees
Last column: nearest neighbours and their distance in Å.
Fractional positions:
Er  0.3750  0.6250  0.7500  4 O 2.18
Er  0.6250  0.3750  0.2500  4 O 2.18
Te  0.0000  0.0000  0.0000  4 O 2.27
Te  0.0000  0.0000  0.5000  4 O 2.27
Te  0.0000  0.5000  0.0000  4 O 2.27
Te  0.5000  0.0000  0.5000  4 O 2.27
O  0.0762  0.6476  0.4286  1 Er 2.18, 2 Te 2.27, 1 O 2.41
O  0.2810  0.3524  0.9286  1 Er 2.18, 2 Te 2.27, 1 O 2.41
O  0.3524  0.2810  0.4286  1 Er 2.18, 2 Te 2.27, 1 O 2.41
O  0.3524  0.9238  0.0714  1 Er 2.18, 2 Te 2.27, 1 O 2.41
O  0.6476  0.0762  0.9286  1 Er 2.18, 2 Te 2.27, 1 O 2.41
O  0.6476  0.7190  0.5714  1 Er 2.18, 2 Te 2.27, 1 O 2.41
O  0.7190  0.6476  0.0714  1 Er 2.18, 2 Te 2.27, 1 O 2.41
O  0.9238  0.3524  0.5714  1 Er 2.18, 2 Te 2.27, 1 O 2.41


[14]
Er2Te4O11 | PBE-GGA | optimized geometry

Results
**Calculated total energy**: -6.330 eV/atom

Cell lengths 6.6429, 6.6429, 15.8691 Å; angles 105.30, 105.30, 44.88 degrees
Last column: nearest neighbours and their distance in Å.
Fractional positions:
Er  0.1281  0.6331  0.9635  8 O 2.22-2.48
Er  0.3669  0.8719  0.5365  8 O 2.22-2.48
Er  0.6331  0.1281  0.4635  8 O 2.22-2.48
Er  0.8719  0.3669  0.0365  8 O 2.22-2.48
Te  0.0941  0.6605  0.6293  3 O 1.89-1.94
Te  0.0954  0.6521  0.2978  3 O 1.87-2.04
Te  0.3395  0.9059  0.8707  3 O 1.89-1.94
Te  0.3479  0.9046  0.2023  3 O 1.87-2.04
Te  0.6521  0.0954  0.7978  3 O 1.87-2.04
Te  0.6605  0.0941  0.1293  3 O 1.89-1.94
Te  0.9046  0.3479  0.7022  3 O 1.87-2.04
Te  0.9059  0.3395  0.3707  3 O 1.89-1.94
O  0.0536  0.8985  0.4040  1 Te 1.93
O  0.1015  0.9464  0.0960  1 Te 1.93
O  0.1611  0.2543  0.9463  1 Te 1.90
O  0.1876  0.3103  0.6303  1 Te 1.94
O  0.2543  0.1611  0.4463  1 Te 1.90
O  0.2829  0.4125  0.8299  1 Te 1.87
O  0.3103  0.1876  0.1303  1 Te 1.94
O  0.3257  0.5385  0.5450  1 Te 1.89
O  0.3628  0.6372  0.2500  2 Te 2.04
O  0.4125  0.2829  0.3299  1 Te 1.87
O  0.4615  0.6743  0.9550  1 Te 1.89
O  0.5385  0.3257  0.0450  1 Te 1.89
O  0.5875  0.7171  0.6701  1 Te 1.87
O  0.6372  0.3628  0.7500  2 Te 2.04
O  0.6743  0.4615  0.4550  1 Te 1.89
O  0.6897  0.8124  0.8697  1 Te 1.94
O  0.7171  0.5875  0.1701  1 Te 1.87
O  0.7457  0.8389  0.5537  1 Te 1.90
O  0.8124  0.6897  0.3697  1 Te 1.94
O  0.8389  0.7457  0.0537  1 Te 1.90
O  0.8985  0.0536  0.9040  1 Te 1.93
O  0.9464  0.1015  0.5960  1 Te 1.93


[15]
ErTlTeO | PBE-GGA | optimized geometry

Results
**Calculated total energy**: -5.376 eV/atom

Cell lengths 4.7631, 8.2674, 6.7935 Å; angles 90.00, 90.00, 90.00 degrees
Last column: nearest neighbours and their distance in Å.
Fractional positions:
Er  0.0000  0.1152  0.0000  2 O 2.07-2.08
Er  0.0000  0.8848  0.5000  2 O 2.07-2.08
Tl  0.5000  0.2775  0.5988  2 O 2.99
Tl  0.5000  0.7225  0.0988  2 O 2.99
Te  0.5000  0.3145  0.0943  2 Er 2.97
Te  0.5000  0.6855  0.5943  2 Er 2.97
O  0.0000  0.0750  0.6980  2 Er 2.07-2.08
O  0.0000  0.9250  0.1980  2 Er 2.07-2.08


[16]
ErTmTeO2 | PBE-GGA | optimized geometry

Results
**Calculated total energy**: -7.397 eV/atom

Cell lengths 6.7251, 6.7251, 6.7251 Å; angles 146.57, 146.57, 48.00 degrees
Last column: nearest neighbours and their distance in Å.
Fractional positions:
Er  0.0000  0.0000  0.0000  4 O 2.22
Tm  0.6737  0.6737  0.0000  4 O 2.20
Te  0.3371  0.3371  0.0000  4 Er 3.39, 4 Tm 3.39, 8 O 3.62-3.64
O  0.0880  0.5880  0.5000  2 Tm 2.20, 2 Er 2.22
O  0.5880  0.0880  0.5000  2 Tm 2.20, 2 Er 2.22


[17]
ErTmTeO2 | PBE-GGA | optimized geometry

Results
**Calculated total energy**: -7.315 eV/atom

Cell lengths 3.8358, 3.8358, 7.1040 Å; angles 90.00, 90.00, 120.00 degrees
Last column: nearest neighbours and their distance in Å.
Fractional positions:
Er  0.0000  0.0000  0.0000  4 O 2.25-2.28
Tm  0.3333  0.6667  0.6109  4 O 2.23-2.27
Te  0.6667  0.3333  0.3061  3 Tm 3.10, 3 Er 3.10
O  0.0000  0.0000  0.6837  1 Er 2.25, 3 Tm 2.27
O  0.3333  0.6667  0.9245  1 Tm 2.23, 3 Er 2.28


[18]
YErTeO2 | PBE-GGA | optimized geometry

Results
**Calculated total energy**: -7.768 eV/atom

Cell lengths 6.7800, 6.7800, 6.7800 Å; angles 146.56, 146.56, 48.02 degrees
Last column: nearest neighbours and their distance in Å.
Fractional positions:
Y  0.0000  0.0000  0.0000  4 O 2.25
Er  0.3251  0.3251  0.0000  4 O 2.22
Te  0.6617  0.6617  0.0000  4 Y 3.41, 4 Er 3.42, 8 O 3.64-3.68
O  0.4098  0.9098  0.5000  2 Er 2.22, 2 Y 2.25
O  0.9098  0.4098  0.5000  2 Er 2.22, 2 Y 2.25


[19]
YErTeO2 | PBE-GGA | optimized geometry

Results
**Calculated total energy**: -7.692 eV/atom

Cell lengths 3.8715, 3.8715, 7.1561 Å; angles 90.00, 90.00, 120.00 degrees
Last column: nearest neighbours and their distance in Å.
Fractional positions:
Y  0.0000  0.0000  0.0000  4 O 2.29-2.30
Er  0.3333  0.6667  0.6092  4 O 2.24-2.29
Te  0.6667  0.3333  0.3053  3 Er 3.12, 3 Y 3.13, 3 O 3.49
O  0.0000  0.0000  0.6801  1 Y 2.29, 3 Er 2.29
O  0.3333  0.6667  0.9217  1 Er 2.24, 3 Y 2.30


[20]
ErTl2O4 | PBE-GGA | optimized geometry

Results
**Calculated total energy**: -5.688 eV/atom

Cell lengths 6.8333, 6.8333, 6.8333 Å; angles 60.00, 60.00, 60.00 degrees
Last column: nearest neighbours and their distance in Å.
Fractional positions:
Er  0.1250  0.1250  0.1250  4 O 2.14
Er  0.8750  0.8750  0.8750  4 O 2.14
Tl  0.0000  0.5000  0.5000  6 O 2.39
Tl  0.5000  0.0000  0.5000  6 O 2.39
Tl  0.5000  0.5000  0.0000  6 O 2.39
Tl  0.5000  0.5000  0.5000  6 O 2.39
O  0.2531  0.2531  0.2531  1 Er 2.14, 3 Tl 2.39
O  0.2531  0.2531  0.7407  1 Er 2.14, 3 Tl 2.39
O  0.2531  0.7407  0.2531  1 Er 2.14, 3 Tl 2.39
O  0.2593  0.7469  0.7469  1 Er 2.14, 3 Tl 2.39
O  0.7407  0.2531  0.2531  1 Er 2.14, 3 Tl 2.39
O  0.7469  0.2593  0.7469  1 Er 2.14, 3 Tl 2.39
O  0.7469  0.7469  0.2593  1 Er 2.14, 3 Tl 2.39
O  0.7469  0.7469  0.7469  1 Er 2.14, 3 Tl 2.39


Calculated volume in order - 13.0, 12.5, 11.7, 13.1, 15.8, 15.4, 12.7, 18.7, 18.9, 12.0, 12.7, 13.2, 14.5, 13.9, 33.4, 18.4, 18.1, 18.9, 18.6, 16.1 Å³ per atom